1.
BaCoAs2: relaxed, PBE-GGA.

Output
The calculation puts the calculated total energy at -17.33 eV/cell. The value obtained for the formation energy from the elements is 249 meV per atom.

abc: 4.588 4.588 4.498
angles: 90.00 90.00 90.00
Space group P4/mmm (No. 123)
Unique sites:
1 Ba 0.000 0.000 0.000 (multiplicity 1)
2 Co 0.500 0.500 0.000 (multiplicity 1)
3 As 0.000 0.500 0.500 (multiplicity 2)

***

2.
TlCr2Ir: relaxed, PBE-GGA.

Output
The calculation puts the calculated total energy at -57.50 eV/cell. The calculation puts the offset from the most stable computed form at 57.4 meV per atom. The value obtained for the formation energy from the elements is 432 meV per atom.

abc: 3.124 4.550 8.865
angles: 90.00 90.00 90.00
Space group Imm2 (No. 44)
Unique sites:
1 Tl 0.000 0.000 0.000 (multiplicity 2)
2 Cr 0.000 0.000 0.470 (multiplicity 2)
3 Cr 0.000 0.500 0.766 (multiplicity 2)
4 Ir 0.000 0.500 0.227 (multiplicity 2)

***

3.
Sm3Ga2Pt6: relaxed, PBE-GGA.

Output
The calculation puts the calculated total energy at -269.76 eV/cell. The value obtained for the formation energy from the elements is -999 meV per atom.

abc: 9.609 9.609 9.609
angles: 90.00 90.00 90.00
Space group Im-3m (No. 229)
Unique sites:
1 Sm 0.000 0.000 0.298 (multiplicity 12)
2 Ga 0.250 0.250 0.250 (multiplicity 8)
3 Pt 0.000 0.323 0.323 (multiplicity 24)

***

4.
PmErNi10: relaxed, PBE-GGA.

Output
The calculation puts the calculated total energy at -70.88 eV/cell. The value obtained for the formation energy from the elements is -313 meV per atom.

abc: 3.960 4.902 8.482
angles: 90.00 90.00 90.00
Space group Pmmm (No. 47)
Unique sites:
1 Pm 0.000 0.000 0.000 (multiplicity 1)
2 Er 0.000 0.500 0.500 (multiplicity 1)
3 Ni 0.000 0.000 0.337 (multiplicity 2)
4 Ni 0.000 0.500 0.171 (multiplicity 2)
5 Ni 0.500 0.000 0.500 (multiplicity 1)
6 Ni 0.500 0.252 0.254 (multiplicity 4)
7 Ni 0.500 0.500 0.000 (multiplicity 1)

***

5.
Ti4MnAl3: relaxed, PBE-GGA.

Output
The calculation puts the calculated total energy at -54.78 eV/cell. The value obtained for the formation energy from the elements is -350 meV per atom.

abc: 2.966 2.966 14.127
angles: 90.00 90.00 90.00
Space group P4/mmm (No. 123)
Unique sites:
1 Ti 0.000 0.000 0.101 (multiplicity 2)
2 Ti 0.000 0.000 0.365 (multiplicity 2)
3 Mn 0.500 0.500 0.000 (multiplicity 1)
4 Al 0.500 0.500 0.234 (multiplicity 2)
5 Al 0.500 0.500 0.500 (multiplicity 1)

***

6.
CaLa2Pr8: relaxed, PBE-GGA.

Output
The calculation puts the calculated total energy at -97.15 eV/cell. The calculation puts the offset from the most stable computed form at 11.1 meV per atom. The value obtained for the formation energy from the elements is 138 meV per atom.

abc: 5.799 8.648 16.390
angles: 90.00 90.00 90.00
Space group Immm (No. 71)
Unique sites:
1 Ca 0.000 0.000 0.000 (multiplicity 2)
2 La 0.000 0.000 0.297 (multiplicity 4)
3 Pr 0.000 0.196 0.500 (multiplicity 4)
4 Pr 0.000 0.297 0.140 (multiplicity 8)
5 Pr 0.000 0.500 0.342 (multiplicity 4)

***

7.
SbPb3: relaxed, PBE-GGA.

Output
The calculation puts the calculated total energy at -15.08 eV/cell. The value obtained for the formation energy (no corrections) is 41 meV/atom.

abc: 5.019 5.019 4.925
angles: 90.00 90.00 90.00
Space group P4/mmm (No. 123)
Unique sites:
1 Sb 0.000 0.000 0.000 (multiplicity 1)
2 Pb 0.000 0.500 0.500 (multiplicity 2)
3 Pb 0.500 0.500 0.000 (multiplicity 1)

***

8.
SmHo15Er4: relaxed, PBE-GGA.

Output
The calculation puts the calculated total energy at -91.23 eV/cell. The value obtained for the formation energy from the elements is 20 meV per atom.

abc: 4.984 4.984 24.921
angles: 90.00 90.00 90.00
Space group P4/mmm (No. 123)
Unique sites:
1 Sm 0.000 0.000 0.000 (multiplicity 1)
2 Ho 0.000 0.500 0.101 (multiplicity 4)
3 Ho 0.000 0.500 0.301 (multiplicity 4)
4 Ho 0.000 0.500 0.500 (multiplicity 2)
5 Ho 0.500 0.500 0.000 (multiplicity 1)
6 Ho 0.500 0.500 0.201 (multiplicity 2)
7 Ho 0.500 0.500 0.400 (multiplicity 2)
8 Er 0.000 0.000 0.201 (multiplicity 2)
9 Er 0.000 0.000 0.400 (multiplicity 2)

***

| no. | N(E_F) (states/eV/f.u.) |
| --- | --- |
| 1 | 4.7 |
| 2 | 3.5 |
| 3 | 6.8 |
| 4 | 13.8 |
| 5 | 7.8 |
| 6 | 19.6 |
| 7 | 2.6 |
| 8 | 25.9 |